Material: Sc2TiBiH
Method: DFT, PBE-GGA
State: relaxed

Values from the calculation:
Raw total energy (eV per atom): -5.8958
Space-group type: No. 123

a b c (Å): 4.5136 4.5136 4.2551
angles (deg): 90.00 90.00 90.00
Atoms (fractional coordinates):
1 Sc 0.0000 0.5000 0.0000
2 Sc 0.5000 0.0000 0.0000
3 Ti 0.0000 0.0000 0.5000
4 Bi 0.5000 0.5000 0.5000
5 H 0.0000 0.0000 0.0000